# Sc2BePb

Crystalline Sc2BePb at its relaxed geometry (PBE-GGA, Alexandria via LeMat-Bulk).

Output
**Energy of formation**: -0.4 eV/f.u.
**Uncorrected energy**: -40.96 eV/cell
**Total moment**: 0.70 μB/f.u.
**Polymorph energy (0 for the lowest one)**: 0.16 eV per formula unit

CIF file:
```
data_Sc2BePb
_symmetry_space_group_name_H-M 'I 4/m m m'
_symmetry_Int_Tables_number 139
_symmetry_space_group_name_Hall '-I 4 2'
_cell_length_a 4.3760
_cell_length_b 4.3760
_cell_length_c 8.3725
_cell_angle_alpha 90.00
_cell_angle_beta 90.00
_cell_angle_gamma 90.00
loop_
_atom_site_label
_atom_site_fract_x
_atom_site_fract_y
_atom_site_fract_z
Sc1 0.0000 0.5000 0.2500
Be1 0.0000 0.0000 0.0000
Pb1 0.0000 0.0000 0.5000
```